This record from Alexandria via LeMat-Bulk describes a relaxed structure of TbSm2Y3As6. The functional is PBE.

```
data_TbSm2Y3As6
_cell_length_a 7.202
_cell_length_b 12.472
_cell_length_c 7.198
_cell_angle_alpha 90.00
_cell_angle_beta 109.46
_cell_angle_gamma 90.00
_space_group_name_H-M_alt 'C 1 2/m 1'
_space_group_IT_number 12
_space_group_name_Hall '-C 2y'
loop_
_atom_site_label
_atom_site_fract_x
_atom_site_fract_y
_atom_site_fract_z
_atom_site_occupancy
Tb1 0.000 0.000 0.000 1
Sm1 0.000 0.334 0.000 1
Y1 0.000 0.167 0.500 1
Y2 0.000 0.500 0.500 1
As1 0.246 0.000 0.746 1
As2 0.250 0.165 0.254 1
```

Values from the calculation:
Calculated total energy: -6.656 eV/atom
Magnetic moment: 0.00 μB per atom
Formation energy: -1543.0 meV/atom



This record from Alexandria via LeMat-Bulk describes a relaxed structure of TbSm2ZrAs4. The functional is PBE.

```
data_TbSm2ZrAs4
_cell_length_a 7.095
_cell_length_b 4.096
_cell_length_c 7.102
_cell_angle_alpha 90.00
_cell_angle_beta 109.29
_cell_angle_gamma 90.00
_space_group_name_H-M_alt 'P 1 2/m 1'
_space_group_IT_number 10
_space_group_name_Hall '-P 2y'
loop_
_atom_site_label
_atom_site_fract_x
_atom_site_fract_y
_atom_site_fract_z
_atom_site_occupancy
Tb1 0.000 0.000 0.000 1
Sm1 0.000 0.500 0.500 1
Sm2 0.500 0.000 0.500 1
Zr1 0.500 0.500 0.000 1
As1 0.254 0.500 0.239 1
As2 0.263 0.000 0.766 1
```

Values from the calculation:
Calculated total energy: -6.578 eV/atom
Magnetic moment: 0.00 μB per atom
Formation energy: -1425.7 meV/atom



This record from Alexandria via LeMat-Bulk describes a relaxed structure of TbSmZr2As4. The functional is PBE.

```
data_TbSmZr2As4
_cell_length_a 6.926
_cell_length_b 3.994
_cell_length_c 7.003
_cell_angle_alpha 90.00
_cell_angle_beta 109.30
_cell_angle_gamma 90.00
_space_group_name_H-M_alt 'P 1 2/m 1'
_space_group_IT_number 10
_space_group_name_Hall '-P 2y'
loop_
_atom_site_label
_atom_site_fract_x
_atom_site_fract_y
_atom_site_fract_z
_atom_site_occupancy
Tb1 0.000 0.000 0.000 1
Sm1 0.500 0.500 0.000 1
Zr1 0.000 0.500 0.500 1
Zr2 0.500 0.000 0.500 1
As1 0.242 0.000 0.732 1
As2 0.253 0.500 0.266 1
```

Values from the calculation:
Calculated total energy: -6.947 eV/atom
Magnetic moment: 0.00 μB per atom
Formation energy: -1316.1 meV/atom



This record from Alexandria via LeMat-Bulk describes a relaxed structure of SmTc4As2. The functional is PBE.

```
data_SmTc4As2
_cell_length_a 4.134
_cell_length_b 14.425
_cell_length_c 4.070
_cell_angle_alpha 90.00
_cell_angle_beta 90.00
_cell_angle_gamma 90.00
_space_group_name_H-M_alt 'C m m m'
_space_group_IT_number 65
_space_group_name_Hall '-C 2 2'
loop_
_atom_site_label
_atom_site_fract_x
_atom_site_fract_y
_atom_site_fract_z
_atom_site_occupancy
Sm1 0.000 0.000 0.000 1
Tc1 0.000 0.189 0.500 1
Tc2 0.000 0.303 0.000 1
As1 0.000 0.410 0.500 1
```

Values from the calculation:
Calculated total energy: -8.437 eV/atom
Magnetic moment: 0.00 μB per atom
Formation energy: -510.8 meV/atom



This record from Alexandria via LeMat-Bulk describes a relaxed structure of Sm3TeAs2. The functional is PBE.

```
data_Sm3TeAs2
_cell_length_a 4.267
_cell_length_b 6.100
_cell_length_c 12.919
_cell_angle_alpha 90.00
_cell_angle_beta 90.00
_cell_angle_gamma 90.00
_space_group_name_H-M_alt 'I m m m'
_space_group_IT_number 71
_space_group_name_Hall '-I 2 2'
loop_
_atom_site_label
_atom_site_fract_x
_atom_site_fract_y
_atom_site_fract_z
_atom_site_occupancy
Sm1 0.000 0.000 0.000 1
Sm2 0.000 0.000 0.318 1
Te1 0.000 0.500 0.000 1
As1 0.000 0.500 0.337 1
```

Values from the calculation:
ΔE to the lowest computed polymorph: 0.00 kcal/mol of atoms
Calculated total energy: -5.955 eV/atom
Magnetic moment: 0.00 μB per atom
Energy relative to the elements, uncorrected: -1521.7 meV/atom



This record from Alexandria via LeMat-Bulk describes a relaxed structure of Sm3Te2As. The functional is PBE.

```
data_Sm3Te2As
_cell_length_a 7.536
_cell_length_b 13.029
_cell_length_c 7.661
_cell_angle_alpha 90.00
_cell_angle_beta 109.12
_cell_angle_gamma 90.00
_space_group_name_H-M_alt 'C 1 2/m 1'
_space_group_IT_number 12
_space_group_name_Hall '-C 2y'
loop_
_atom_site_label
_atom_site_fract_x
_atom_site_fract_y
_atom_site_fract_z
_atom_site_occupancy
Sm1 0.221 0.000 0.222 1
Sm2 0.247 0.176 0.774 1
Te1 0.000 0.000 0.500 1
Te2 0.000 0.340 0.500 1
Te3 0.000 0.500 0.000 1
As1 0.000 0.168 0.000 1
```

Values from the calculation:
ΔE to the lowest computed polymorph: 0.00 kcal/mol of atoms
Calculated total energy: -5.673 eV/atom
Magnetic moment: 0.00 μB per atom
Energy relative to the elements, uncorrected: -1491.6 meV/atom



This record from Alexandria via LeMat-Bulk describes a relaxed structure of Sm4TeAs3. The functional is PBE.

```
data_Sm4TeAs3
_cell_length_a 8.570
_cell_length_b 12.079
_cell_length_c 4.264
_cell_angle_alpha 90.00
_cell_angle_beta 90.00
_cell_angle_gamma 90.00
_space_group_name_H-M_alt 'C m m m'
_space_group_IT_number 65
_space_group_name_Hall '-C 2 2'
loop_
_atom_site_label
_atom_site_fract_x
_atom_site_fract_y
_atom_site_fract_z
_atom_site_occupancy
Sm1 0.000 0.242 0.000 1
Sm2 0.234 0.000 0.500 1
Te1 0.000 0.500 0.000 1
As1 0.000 0.000 0.000 1
As2 0.250 0.250 0.500 1
```

Values from the calculation:
Calculated total energy: -6.030 eV/atom
Magnetic moment: 0.00 μB per atom
Energy relative to the elements, uncorrected: -1533.8 meV/atom



This record from Alexandria via LeMat-Bulk describes a relaxed structure of Sm7Te4As4. The functional is PBE.

```
data_Sm7Te4As4
_cell_length_a 15.133
_cell_length_b 15.133
_cell_length_c 7.675
_cell_angle_alpha 90.00
_cell_angle_beta 90.00
_cell_angle_gamma 90.00
_space_group_name_H-M_alt 'I 4/m m m'
_space_group_IT_number 139
_space_group_name_Hall '-I 4 2'
loop_
_atom_site_label
_atom_site_fract_x
_atom_site_fract_y
_atom_site_fract_z
_atom_site_occupancy
Sm1 0.000 0.000 0.243 1
Sm2 0.000 0.286 0.000 1
Sm3 0.000 0.365 0.500 1
Sm4 0.214 0.214 0.500 1
Te1 0.000 0.167 0.500 1
Te2 0.126 0.126 0.000 1
As1 0.145 0.355 0.250 1
```

Values from the calculation:
Calculated total energy: -5.591 eV/atom
Magnetic moment: 0.05 μB per atom
Energy relative to the elements, uncorrected: -1310.8 meV/atom